[1]
VASP calculation (PBE) on an optimized crystal structure of BeBrNF2.

The structure belongs to space group P4/mmm (No. 123); the cell edges are 3.2187, 3.2187 and 6.3822 Å and the angles 90.00°, 90.00° and 90.00°. Symmetry generates all atoms from Be at (0.0000, 0.0000, 0.0000), Br at (0.5000, 0.5000, 0.5000), N at (0.0000, 0.0000, 0.5000) and F at (0.0000, 0.5000, 0.0000).

As for the final energy: -4.294 eV per atom. As for the uncorrected formation energy: -0.80 eV/atom.

[2]
VASP calculation (PBE) on an optimized crystal structure of HfNiRh.

The structure belongs to space group I4mm (No. 107); the cell edges are 3.2381, 3.2381 and 8.7782 Å and the angles 90.00°, 90.00° and 90.00°. Symmetry generates all atoms from Hf at (0.0000, 0.0000, 0.0000), Ni at (0.0000, 0.0000, 0.3423) and Rh at (0.0000, 0.0000, 0.6693).

As for the final energy: -8.245 eV per atom. The formation enthalpy at 0 K is -0.550 eV per atom.

[3]
VASP calculation (PBE) on an optimized crystal structure of Cr3GeC.

The structure belongs to space group P2_1/m (No. 11); the cell edges are 6.6034, 2.8491 and 6.7452 Å and the angles 90.00°, 112.41° and 90.00°. Symmetry generates all atoms from Cr at (0.0080, 0.2500, 0.3387), Cr at (0.3510, 0.2500, 0.9516), Cr at (0.3832, 0.7500, 0.6206), Ge at (0.2534, 0.7500, 0.2073) and C at (0.1887, 0.2500, 0.6405).

As for the final energy: -8.538 eV per atom. The formation enthalpy at 0 K is 0.004 eV per atom.

[4]
VASP calculation (PBE) on an optimized crystal structure of PmPrEr5Tm2.

The structure belongs to space group Cmc2_1 (No. 36); the cell edges are 5.5814, 19.7411 and 10.5325 Å and the angles 90.00°, 90.00° and 90.00°. Symmetry generates all atoms from Pm at (0.0000, 0.2009, 0.0000), Pr at (0.0000, 0.4175, 0.4353), Er at (0.0000, 0.0169, 0.0140), Er at (0.0000, 0.2810, 0.2978), Er at (0.0000, 0.2988, 0.6970), Er at (0.0000, 0.3904, 0.0107), Er at (0.0000, 0.4773, 0.7220), Tm at (0.0000, 0.1105, 0.7220) and Tm at (0.0000, 0.1131, 0.3073).

As for the final energy: -4.420 eV per atom. The formation enthalpy at 0 K is 0.167 eV per atom.

[5]
VASP calculation (PBE) on an optimized crystal structure of LiY6Ag5.

The structure belongs to space group Immm (No. 71); the cell edges are 5.1640, 7.2668 and 15.5475 Å and the angles 90.00°, 90.00° and 90.00°. Symmetry generates all atoms from Li at (0.0000, 0.0000, 0.0000), Y at (0.0000, 0.2454, 0.5000), Y at (0.0000, 0.2519, 0.1684), Ag at (0.0000, 0.0000, 0.3329), Ag at (0.0000, 0.5000, 0.0000) and Ag at (0.0000, 0.5000, 0.3412).

As for the final energy: -4.846 eV per atom. The formation enthalpy at 0 K is -0.267 eV per atom.

[6]
VASP calculation (PBE) on an optimized crystal structure of TiFe2TcC.

The structure belongs to space group P4/mmm (No. 123); the cell edges are 3.7757, 3.7757 and 4.0557 Å and the angles 90.00°, 90.00° and 90.00°. Symmetry generates all atoms from Ti at (0.0000, 0.0000, 0.0000), Fe at (0.0000, 0.5000, 0.5000), Tc at (0.5000, 0.5000, 0.0000) and C at (0.5000, 0.5000, 0.5000).

As for the final energy: -9.077 eV per atom. The formation enthalpy at 0 K is -0.195 eV per atom.

[7]
VASP calculation (PBE) on an optimized crystal structure of Sm3Al2GePd9.

The structure belongs to space group P-3m1 (No. 164); the cell edges are 5.7289, 5.7289 and 11.0686 Å and the angles 90.00°, 90.00° and 120.00°. Symmetry generates all atoms from Sm at (0.0000, 0.0000, 0.0000), Sm at (0.3333, 0.6667, 0.7422), Al at (0.3333, 0.6667, 0.1698), Ge at (0.0000, 0.0000, 0.5000), Pd at (0.0000, 0.5000, 0.0000) and Pd at (0.1686, 0.3371, 0.3382).

As for the final energy: -5.503 eV per atom. The formation enthalpy at 0 K is -0.637 eV per atom.

[8]
VASP calculation (PBE) on an optimized crystal structure of Cs3U2BiS9.

The structure belongs to space group P-3m1 (No. 164); the cell edges are 7.4702, 7.4702 and 9.2063 Å and the angles 90.00°, 90.00° and 120.00°. Symmetry generates all atoms from Cs at (0.0000, 0.0000, 0.0000), Cs at (0.3333, 0.6667, 0.6625), U at (0.3333, 0.6667, 0.1641), Bi at (0.0000, 0.0000, 0.5000), S at (0.0000, 0.5000, 0.0000) and S at (0.1739, 0.3478, 0.3180).

As for the final energy: -5.521 eV per atom. As for the uncorrected formation energy: -1.11 eV/atom.